# 1
Here is a relaxed structure of Rb2SiBF6 from Alexandria. Energies are from PBE.

As for the formation energy without anion corrections: -2.21 eV/atom. For the electronic total energy, the calculation gives -47.4 eV for the cell shown.

a = 5.9949 Å, b = 5.9949 Å, c = 6.5101 Å
α = 62.58°, β = 62.58°, γ = 90.00°
With the nearest neighbours (Å) after each atom.
Positions (direct):
B: 0.5000 0.5000 0.0000  4 F 2.52
F: 0.7969 0.2031 0.0000  1 Si 1.72
F: 0.2031 0.7969 0.0000  1 Si 1.72
F: 0.1738 0.1738 0.6524  1 Si 1.72
F: 0.8262 0.8262 0.3476  1 Si 1.72
F: 0.7969 0.7969 0.0000  1 Si 1.72
F: 0.2031 0.2031 0.0000  1 Si 1.72
Si: 0.0000 0.0000 0.0000  6 F 1.72
Rb: 0.2500 0.7500 0.5000  12 F 3.09-3.28
Rb: 0.7500 0.2500 0.5000  12 F 3.09-3.28


# 2
Here is a relaxed structure of RbSrB2F8 from Alexandria. Energies are from PBE.

As for the formation energy without anion corrections: -2.87 eV/atom. For the electronic total energy, the calculation gives -65.4 eV for the cell shown.

a = 5.2555 Å, b = 5.2555 Å, c = 8.8215 Å
α = 72.67°, β = 72.67°, γ = 60.00°
With the nearest neighbours (Å) after each atom.
Positions (direct):
F: 0.4284 0.4219 0.1641  1 B 1.43
F: 0.4219 0.9856 0.1641  1 B 1.43
F: 0.9856 0.4284 0.1641  1 B 1.43
F: 0.5781 0.0144 0.8359  1 B 1.43
F: 0.7982 0.7982 0.6053  1 B 1.40
F: 0.2018 0.2018 0.3947  1 B 1.40
F: 0.0144 0.5716 0.8359  1 B 1.43
F: 0.5716 0.5781 0.8359  1 B 1.43
Rb: 0.5000 0.5000 0.5000  12 F 3.16-3.26
B: 0.2581 0.2581 0.2256  4 F 1.40-1.43
B: 0.7419 0.7419 0.7744  4 F 1.40-1.43
Sr: 0.0000 0.0000 0.0000  12 F 2.95-2.98


# 3
Here is a relaxed structure of Rb2BTeF6 from Alexandria. Energies are from PBE.

As for the formation energy without anion corrections: -2.11 eV/atom. For the electronic total energy, the calculation gives -44.1 eV for the cell shown.

a = 6.6220 Å, b = 6.6220 Å, c = 6.4430 Å
α = 59.08°, β = 59.08°, γ = 90.00°
With the nearest neighbours (Å) after each atom.
Positions (direct):
Rb: 0.2500 0.7500 0.5000  12 F 3.31-3.33
Rb: 0.7500 0.2500 0.5000  12 F 3.31-3.33
F: 0.6614 0.3386 0.0000  1 B 1.51
F: 0.3386 0.6614 0.0000  1 B 1.51
F: 0.3386 0.3386 0.0000  1 B 1.51
F: 0.7592 0.7592 0.4815  1 Te 2.13, 1 B 2.29
F: 0.2408 0.2408 0.5185  1 Te 2.13, 1 B 2.29
F: 0.6614 0.6614 0.0000  1 B 1.51
Te: 0.0000 0.0000 0.0000  2 F 2.13
B: 0.5000 0.5000 0.0000  4 F 1.51


> Look up the electronic total energy of the third one.

-44.1 eV for the cell shown


> What is the formula in the first record?

Rb2SiBF6